## KSc2Bi (PBE)

Data for an optimized crystal structure of KSc2Bi. Values from VASP.

The space group is I4_1/amd (141). The value obtained for the total energy is -4.072 eV/atom.

```
&SYSTEM
  ibrav = 0, nat = 8, ntyp = 3
/
ATOMIC_SPECIES
Sc 44.96 Sc.upf
K 39.10 K.upf
Bi 208.98 Bi.upf
ATOMIC_POSITIONS angstrom
Sc 0.291 -1.777 6.138
Sc 2.866 -2.934 6.329
Sc 3.484 2.246 8.417
Sc 2.622 0.690 10.616
K 1.707 -2.713 2.393
K 5.755 -0.048 5.870
Bi 0.000 0.000 0.000
Bi 2.316 -0.444 7.875
CELL_PARAMETERS angstrom
-1.732 -3.109 4.398
5.146 -2.318 0.388
4.656 4.934 8.959
```